## i
A plane-wave DFT calculation with PBE-GGA was carried out for a geometry-optimized Co2GeAu2 structure.

Cell and atoms, written as CIF:
```
data_Co2GeAu2
_cell_length_a 6.567
_cell_length_b 6.567
_cell_length_c 6.567
_cell_angle_alpha 146.60
_cell_angle_beta 146.60
_cell_angle_gamma 47.95
_space_group_name_H-M_alt 'P 1'
_space_group_IT_number 1
loop_
_space_group_symop_operation_xyz
'x,y,z'
loop_
_atom_site_label
_atom_site_type_symbol
_atom_site_fract_x
_atom_site_fract_y
_atom_site_fract_z
Co1 Co 0.090 0.090 0.000
Co2 Co 0.910 0.910 0.000
Ge1 Ge 0.500 0.500 0.000
Au1 Au 0.250 0.750 0.500
Au2 Au 0.750 0.250 0.500
```

=====

## ii
A plane-wave DFT calculation with PBE-GGA was carried out for a geometry-optimized Co2GeAu2 structure.

Cell and atoms, written as CIF:
```
data_Co2GeAu2
_cell_length_a 5.962
_cell_length_b 5.962
_cell_length_c 4.214
_cell_angle_alpha 90.00
_cell_angle_beta 90.00
_cell_angle_gamma 90.00
_space_group_name_H-M_alt 'P 1'
_space_group_IT_number 1
loop_
_space_group_symop_operation_xyz
'x,y,z'
loop_
_atom_site_label
_atom_site_type_symbol
_atom_site_fract_x
_atom_site_fract_y
_atom_site_fract_z
Co1 Co 0.136 0.364 0.000
Co2 Co 0.364 0.864 0.000
Co3 Co 0.636 0.136 0.000
Co4 Co 0.864 0.636 0.000
Ge1 Ge 0.000 0.000 0.000
Ge2 Ge 0.500 0.500 0.000
Au1 Au 0.170 0.670 0.500
Au2 Au 0.330 0.170 0.500
Au3 Au 0.670 0.830 0.500
Au4 Au 0.830 0.330 0.500
```

=====

Which structure wins on stability? ii wins.

=====

## i
A plane-wave DFT calculation with PBE-GGA was carried out for a geometry-optimized CoGeAu3 structure.

Cell and atoms, written as CIF:
```
data_CoGeAu3
_cell_length_a 4.785
_cell_length_b 4.785
_cell_length_c 4.785
_cell_angle_alpha 90.00
_cell_angle_beta 90.00
_cell_angle_gamma 90.00
_space_group_name_H-M_alt 'P 1'
_space_group_IT_number 1
loop_
_space_group_symop_operation_xyz
'x,y,z'
loop_
_atom_site_label
_atom_site_type_symbol
_atom_site_fract_x
_atom_site_fract_y
_atom_site_fract_z
Co1 Co 0.000 0.000 0.000
Ge1 Ge 0.500 0.500 0.500
Au1 Au 0.000 0.000 0.500
Au2 Au 0.000 0.500 0.000
Au3 Au 0.500 0.000 0.000
```

=====

## ii
A plane-wave DFT calculation with PBE-GGA was carried out for a geometry-optimized CoGeAu3 structure.

Cell and atoms, written as CIF:
```
data_CoGeAu3
_cell_length_a 4.820
_cell_length_b 4.820
_cell_length_c 4.820
_cell_angle_alpha 90.00
_cell_angle_beta 90.00
_cell_angle_gamma 90.00
_space_group_name_H-M_alt 'P 1'
_space_group_IT_number 1
loop_
_space_group_symop_operation_xyz
'x,y,z'
loop_
_atom_site_label
_atom_site_type_symbol
_atom_site_fract_x
_atom_site_fract_y
_atom_site_fract_z
Co1 Co 0.000 0.000 0.000
Ge1 Ge 0.500 0.500 0.500
Au1 Au 0.000 0.500 0.500
Au2 Au 0.500 0.000 0.500
Au3 Au 0.500 0.500 0.000
```

=====

Which structure wins on stability? i wins.